Compound: AgTeW2
Source: Alexandria
Functional: SCAN
Structure: PBEsol geometry

The structure in CIF format:
```
data_AgTeW2
_cell_length_a 3.220
_cell_length_b 4.615
_cell_length_c 9.419
_cell_angle_alpha 90.00
_cell_angle_beta 90.00
_cell_angle_gamma 90.00
_space_group_name_H-M_alt 'I m m m'
_space_group_IT_number 71
_space_group_name_Hall '-I 2 2'
loop_
_atom_site_label
_atom_site_type_symbol
_atom_site_fract_x
_atom_site_fract_y
_atom_site_fract_z
_atom_site_occupancy
Ag1 Ag 0.000 0.000 0.000 1
Te1 Te 0.000 0.000 0.500 1
W1 W 0.000 0.500 0.236 1
```

Values from the calculation:
Its magnetization is 0.0 μB per cell. The value obtained for the total energy is -408.2 eV/cell. Its formation energy (no corrections) is 972 meV per atom.

***

Compound: AgTeW2
Source: Alexandria
Functional: SCAN
Structure: PBEsol geometry

The structure in CIF format:
```
data_AgTeW2
_cell_length_a 3.185
_cell_length_b 3.185
_cell_length_c 6.674
_cell_angle_alpha 90.00
_cell_angle_beta 90.00
_cell_angle_gamma 90.00
_space_group_name_H-M_alt 'P 4/m m m'
_space_group_IT_number 123
_space_group_name_Hall '-P 4 2'
loop_
_atom_site_label
_atom_site_type_symbol
_atom_site_fract_x
_atom_site_fract_y
_atom_site_fract_z
_atom_site_occupancy
Ag1 Ag 0.000 0.000 0.000 1
Te1 Te 0.000 0.000 0.500 1
W1 W 0.500 0.500 0.250 1
```

Values from the calculation:
Its magnetization is 0.0 μB per cell. The value obtained for the total energy is -203.7 eV/cell. Its formation energy (no corrections) is 1061 meV per atom.

***

Compound: AgTeW2
Source: Alexandria
Functional: SCAN
Structure: PBEsol geometry

The structure in CIF format:
```
data_AgTeW2
_cell_length_a 3.249
_cell_length_b 4.818
_cell_length_c 9.549
_cell_angle_alpha 90.00
_cell_angle_beta 90.00
_cell_angle_gamma 90.00
_space_group_name_H-M_alt 'C m m 2'
_space_group_IT_number 35
_space_group_name_Hall 'C 2 -2'
loop_
_atom_site_label
_atom_site_type_symbol
_atom_site_fract_x
_atom_site_fract_y
_atom_site_fract_z
_atom_site_occupancy
Ag1 Ag 0.000 0.000 0.000 1
Te1 Te 0.000 0.500 0.707 1
W1 W 0.000 0.000 0.447 1
W2 W 0.000 0.500 0.241 1
```

Values from the calculation:
Its magnetization is 0.0 μB per cell. The value obtained for the total energy is -411.0 eV/cell. Its formation energy (no corrections) is 627 meV per atom.